# 1
Compound: Ba3Br2O2
Source: Alexandria
Functional: PBEsol
Structure: relaxed

The structure belongs to space group P2_1/c (No. 14); the cell edges are 7.456, 8.134 and 7.708 Å and the angles 90.00°, 114.76° and 90.00°. The inequivalent atoms are Ba at (0.000, 0.000, 0.000), Ba at (0.407, 0.122, 0.772), Br at (0.185, 0.654, 0.928) and O at (0.342, 0.111, 0.068).

The calculation puts the uncorrected formation energy at -2.3774 eV per atom. The energy above the most stable polymorph in this dataset is 0.005 eV/atom. The calculated volume comes out at 30.32 Å³ per atom. The calculation puts the density of states at the Fermi level at 0.00 states/eV/f.u. Its magnetic moment is 0.00 μB/f.u.

# 2
Compound: SrAu
Source: Alexandria
Functional: PBEsol
Structure: relaxed

The structure belongs to space group Pbcm (No. 57); the cell edges are 10.475, 9.378 and 6.876 Å and the angles 90.00°, 90.00° and 90.00°. The inequivalent atoms are Sr at (0.111, 0.250, 0.000), Sr at (0.208, 0.633, 0.250), Sr at (0.387, 0.023, 0.250), Au at (0.080, 0.547, 0.750), Au at (0.350, 0.149, 0.750) and Au at (0.446, 0.750, 0.000).

The calculated volume comes out at 28.15 Å³ per atom. The formation energy is -0.63 eV/atom. The calculation puts the density of states at the Fermi level at 1.06 states/eV/f.u. Its magnetic moment is 0.00 μB/f.u.

# 3
Compound: Al2CdMo
Source: Alexandria
Functional: PBEsol
Structure: relaxed

The structure belongs to space group P4/mmm (No. 123); the cell edges are 4.184, 4.184 and 3.607 Å and the angles 90.00°, 90.00° and 90.00°. The inequivalent atoms are Al at (0.000, 0.500, 0.000), Cd at (0.000, 0.000, 0.500) and Mo at (0.500, 0.500, 0.500).

The calculated volume comes out at 15.78 Å³ per atom. The formation energy is 0.05 eV/atom. The calculation puts the density of states at the Fermi level at 2.87 states/eV/f.u. Its magnetic moment is 0.00 μB/f.u.

# 4
Compound: YVO4
Source: Alexandria
Functional: PBEsol
Structure: relaxed

The structure belongs to space group I4_1/amd (No. 141, origin choice 2); the cell edges are 7.106, 7.106 and 6.244 Å and the angles 90.00°, 90.00° and 90.00°. The inequivalent atoms are Y at (0.000, 0.250, 0.375), V at (0.000, 0.250, 0.875) and O at (0.000, 0.065, 0.700).

The calculation puts the uncorrected formation energy at -3.0537 eV per atom. The calculated volume comes out at 13.14 Å³ per atom. The calculation puts the density of states at the Fermi level at 0.00 states/eV/f.u. Its magnetic moment is 0.00 μB/f.u.

# 5
Compound: CoPH2F
Source: Alexandria
Functional: PBEsol
Structure: relaxed

The structure belongs to space group P4/mmm (No. 123); the cell edges are 3.201, 3.201 and 4.546 Å and the angles 90.00°, 90.00° and 90.00°. The inequivalent atoms are Co at (0.000, 0.000, 0.000), P at (0.000, 0.000, 0.500), H at (0.000, 0.500, 0.500) and F at (0.500, 0.500, 0.000).

The calculated volume comes out at 9.32 Å³ per atom. The calculation puts the density of states at the Fermi level at 3.08 states/eV/f.u. The value obtained for the raw total energy is -22.704 eV/f.u. Its magnetic moment is 1.88 μB/f.u.

# 6
Compound: CaCd2Hg
Source: Alexandria
Functional: PBEsol
Structure: relaxed

The structure belongs to space group C2/m (No. 12); the cell edges are 6.065, 10.640 and 3.273 Å and the angles 90.00°, 115.98° and 90.00°. The inequivalent atoms are Ca at (0.000, 0.000, 0.000), Cd at (0.250, 0.250, 0.500) and Hg at (0.000, 0.500, 0.000).

The calculated volume comes out at 23.74 Å³ per atom. The formation energy is -0.18 eV/atom. The calculation puts the density of states at the Fermi level at 1.76 states/eV/f.u. Its magnetic moment is 0.00 μB/f.u.

> Which formula does entry 3 have?

Al2CdMo

> Among the records above, which one has the highest density of states at the Fermi level?

CoPH2F

> Look up the calculated volume of the fifth one.

9.32 Å³ per atom